{"formula": "TaPBr2", "functional": "PBE-GGA", "state": "relaxed", "lattice_angstrom": [[3.088, 0.000, 0.000], [0.000, 3.088, 0.000], [0.000, 0.000, 9.440]], "species": ["Ta", "P", "Br", "Br"], "frac_coords": [[0.000, 0.000, 0.000], [0.000, 0.000, 0.500], [0.500, 0.500, 0.177], [0.500, 0.500, 0.823]], "e_tot_ev_per_atom": -4.692, "spacegroup": "No. 123", "polymorph_energy_mev_per_atom": 880.4, "raw_formation_energy_mev_per_atom": 460}

{"formula": "Tb2Sm4N", "functional": "PBE-GGA", "state": "relaxed", "lattice_angstrom": [[-2.461, 2.461, 8.836], [2.461, -2.461, 8.836], [2.461, 2.461, -8.836]], "species": ["Tb", "Tb", "Sm", "Sm", "Sm", "Sm", "N"], "frac_coords": [[0.167, 0.167, 0.000], [0.833, 0.833, 0.000], [0.000, 0.500, 0.500], [0.365, 0.365, 0.000], [0.500, 0.000, 0.500], [0.635, 0.635, 0.000], [0.500, 0.500, 0.000]], "e_tot_ev_per_atom": -5.423, "spacegroup": "No. 139", "raw_formation_energy_mev_per_atom": -214}

{"formula": "Si7Te6", "functional": "PBE-GGA", "state": "relaxed", "lattice_angstrom": [[2.975, 1.718, 10.390], [-2.975, 1.718, 10.390], [0.000, -3.435, 10.390]], "species": ["Si", "Si", "Si", "Si", "Si", "Si", "Si", "Te", "Te", "Te", "Te", "Te", "Te"], "frac_coords": [[0.000, 0.000, 0.000], [0.068, 0.068, 0.643], [0.068, 0.643, 0.068], [0.357, 0.932, 0.932], [0.643, 0.068, 0.068], [0.932, 0.357, 0.932], [0.932, 0.932, 0.357], [0.197, 0.197, 0.197], [0.320, 0.320, 0.320], [0.431, 0.431, 0.431], [0.569, 0.569, 0.569], [0.680, 0.680, 0.680], [0.803, 0.803, 0.803]], "e_tot_ev_per_atom": -3.949, "spacegroup": "No. 166", "raw_formation_energy_mev_per_atom": 421}

{"formula": "La2PuSi4Pt3", "functional": "PBE-GGA", "state": "relaxed", "lattice_angstrom": [[4.315, 0.000, 0.000], [0.000, 4.315, 0.000], [0.000, 0.000, 10.866]], "species": ["La", "La", "Pu", "Si", "Si", "Si", "Si", "Pt", "Pt", "Pt"], "frac_coords": [[0.000, 0.500, 0.234], [0.500, 0.000, 0.766], [0.000, 0.000, 0.500], [0.000, 0.000, 0.000], [0.000, 0.500, 0.668], [0.500, 0.000, 0.332], [0.500, 0.500, 0.000], [0.000, 0.500, 0.892], [0.500, 0.000, 0.108], [0.500, 0.500, 0.500]], "e_tot_ev_per_atom": -7.295, "spacegroup": "No. 115", "raw_formation_energy_mev_per_atom": -895}

{"formula": "RbNaTl2Br8", "functional": "PBE-GGA", "state": "relaxed", "lattice_angstrom": [[-3.630, 3.630, 8.603], [3.630, -3.630, 8.603], [3.630, 3.630, -8.603]], "species": ["Rb", "Na", "Tl", "Tl", "Br", "Br", "Br", "Br", "Br", "Br", "Br", "Br"], "frac_coords": [[0.000, 0.000, 0.000], [0.250, 0.750, 0.500], [0.500, 0.500, 0.000], [0.750, 0.250, 0.500], [0.003, 0.065, 0.414], [0.253, 0.663, 0.092], [0.337, 0.429, 0.590], [0.411, 0.997, 0.062], [0.571, 0.161, 0.908], [0.651, 0.589, 0.586], [0.839, 0.747, 0.410], [0.935, 0.349, 0.938]], "e_tot_ev_per_atom": -2.566, "spacegroup": "No. 82", "raw_formation_energy_mev_per_atom": -866}

{"formula": "TiInNi", "functional": "PBE-GGA", "state": "relaxed", "lattice_angstrom": [[1.614, -8.039, 0.000], [1.614, 8.039, 0.000], [0.000, 0.000, 4.002]], "species": ["Ti", "Ti", "In", "In", "Ni", "Ni"], "frac_coords": [[0.078, 0.922, 0.750], [0.922, 0.078, 0.250], [0.299, 0.701, 0.750], [0.701, 0.299, 0.250], [0.458, 0.542, 0.750], [0.542, 0.458, 0.250]], "formation_energy_mev_per_atom": -227, "e_tot_ev_per_atom": -5.699, "spacegroup": "No. 63"}